# 1
Dy2TmCu2 | PBE | relaxed

Lattice parameters (Å, degrees): 3.484 5.018 13.040 90.00 97.66 90.00
Sites, in units of the cell vectors:
Dy (0.047, 0.250, 0.094)
Dy (0.230, 0.250, 0.460)
Dy (0.770, 0.750, 0.540)
Dy (0.953, 0.750, 0.906)
Tm (0.142, 0.750, 0.282)
Tm (0.858, 0.250, 0.718)
Cu (0.359, 0.750, 0.720)
Cu (0.453, 0.250, 0.906)
Cu (0.547, 0.750, 0.094)
Cu (0.641, 0.250, 0.280)

Results
ΔH_f (0 K) = -176 meV/atom
Electronic total energy = -4.5492 eV per atom
Spin magnetization = 0.0 Bohr magnetons per cell
Crystal system = monoclinic
Symmetry = P2_1/m, No. 11


# 2
NdAlCd | PBE | relaxed

Lattice parameters (Å, degrees): 6.087 6.087 6.087 133.58 103.59 94.34
Sites, in units of the cell vectors:
Nd (0.000, 0.000, 0.000)
Nd (0.500, 0.000, 0.500)
Al (0.424, 0.674, 0.750)
Al (0.576, 0.326, 0.250)
Cd (0.091, 0.341, 0.750)
Cd (0.909, 0.659, 0.250)

Results
ΔH_f (0 K) = -374 meV/atom
Electronic total energy = -3.5161 eV per atom
Spin magnetization = 0.0 Bohr magnetons per cell
Crystal system = orthorhombic
Symmetry = Imma, No. 74


# 3
Tm4InRu2 | PBE | relaxed

Lattice parameters (Å, degrees): 7.531 7.531 7.531 109.01 109.01 110.39
Sites, in units of the cell vectors:
Tm (0.093, 0.495, 0.743)
Tm (0.100, 0.001, 0.757)
Tm (0.245, 0.343, 0.243)
Tm (0.505, 0.249, 0.598)
Tm (0.650, 0.907, 0.402)
Tm (0.657, 0.900, 0.902)
Tm (0.751, 0.350, 0.257)
Tm (0.999, 0.755, 0.098)
In (0.250, 0.750, 0.500)
In (0.500, 0.500, 0.000)
Ru (0.017, 0.125, 0.392)
Ru (0.375, 0.983, 0.108)
Ru (0.733, 0.625, 0.608)
Ru (0.875, 0.267, 0.892)

Results
ΔH_f (0 K) = -253 meV/atom
Electronic total energy = -5.8497 eV per atom
Spin magnetization = 0.0 Bohr magnetons per cell
Crystal system = tetragonal
Symmetry = I-42d, No. 122


Which of these has the highest ΔH_f (0 K)? Dy2TmCu2


Repeat the third record exactly.
Tm4InRu2 | PBE | relaxed

Lattice parameters (Å, degrees): 7.531 7.531 7.531 109.01 109.01 110.39
Sites, in units of the cell vectors:
Tm (0.093, 0.495, 0.743)
Tm (0.100, 0.001, 0.757)
Tm (0.245, 0.343, 0.243)
Tm (0.505, 0.249, 0.598)
Tm (0.650, 0.907, 0.402)
Tm (0.657, 0.900, 0.902)
Tm (0.751, 0.350, 0.257)
Tm (0.999, 0.755, 0.098)
In (0.250, 0.750, 0.500)
In (0.500, 0.500, 0.000)
Ru (0.017, 0.125, 0.392)
Ru (0.375, 0.983, 0.108)
Ru (0.733, 0.625, 0.608)
Ru (0.875, 0.267, 0.892)

Results
ΔH_f (0 K) = -253 meV/atom
Electronic total energy = -5.8497 eV per atom
Spin magnetization = 0.0 Bohr magnetons per cell
Crystal system = tetragonal
Symmetry = I-42d, No. 122


Copy entry 3 word for word.
Tm4InRu2 | PBE | relaxed

Lattice parameters (Å, degrees): 7.531 7.531 7.531 109.01 109.01 110.39
Sites, in units of the cell vectors:
Tm (0.093, 0.495, 0.743)
Tm (0.100, 0.001, 0.757)
Tm (0.245, 0.343, 0.243)
Tm (0.505, 0.249, 0.598)
Tm (0.650, 0.907, 0.402)
Tm (0.657, 0.900, 0.902)
Tm (0.751, 0.350, 0.257)
Tm (0.999, 0.755, 0.098)
In (0.250, 0.750, 0.500)
In (0.500, 0.500, 0.000)
Ru (0.017, 0.125, 0.392)
Ru (0.375, 0.983, 0.108)
Ru (0.733, 0.625, 0.608)
Ru (0.875, 0.267, 0.892)

Results
ΔH_f (0 K) = -253 meV/atom
Electronic total energy = -5.8497 eV per atom
Spin magnetization = 0.0 Bohr magnetons per cell
Crystal system = tetragonal
Symmetry = I-42d, No. 122